This record from Alexandria describes a PBEsol-optimized structure of AlInIr2. The functional is SCAN.

Output
DFT total energy (eV/atom): -45.7655
D(E_F) (states/eV per cell): 4.9
Space group: No. 216

abc: 4.453 4.453 4.453
angles: 60.00 60.00 60.00
Sites, in units of the cell vectors:
Al  0.500  0.500  0.500
In  0.250  0.250  0.250
Ir  0.000  0.000  0.000
Ir  0.750  0.750  0.750

***

This record from Alexandria describes a PBEsol-optimized structure of Ca2TaOs. The functional is SCAN.

Output
DFT total energy (eV/atom): -39.2720
D(E_F) (states/eV per cell): 4.4
Space group: No. 8

abc: 4.253 4.258 7.948
angles: 105.43 90.00 119.97
Sites, in units of the cell vectors:
Ca  0.033  0.066  0.098
Ca  0.214  0.429  0.645
Ta  0.787  0.574  0.360
Os  0.466  0.932  0.397

***

This record from Alexandria describes a PBEsol-optimized structure of RbLi2LaIn. The functional is SCAN.

Output
DFT total energy (eV/atom): -20.0009
D(E_F) (states/eV per cell): 3.5
Space group: No. 123

abc: 5.252 5.252 6.154
angles: 90.00 90.00 90.00
Sites, in units of the cell vectors:
Rb  0.000  0.000  0.500
Li  0.500  0.000  0.000
Li  0.000  0.500  0.000
In  0.000  0.000  0.000
La  0.500  0.500  0.500

***

This record from Alexandria describes a PBEsol-optimized structure of Pr2In3Cu. The functional is SCAN.

Output
DFT total energy (eV/atom): -34.2582
D(E_F) (states/eV per cell): 0.7
Space group: No. 156

abc: 4.746 4.746 7.652
angles: 90.00 90.00 120.00
Sites, in units of the cell vectors:
Cu  0.667  0.333  0.458
In  0.000  0.000  0.516
In  0.000  0.000  0.954
In  0.667  0.333  0.060
Pr  0.333  0.667  0.738
Pr  0.333  0.667  0.274